{
  "formula": "InPd7Se2",
  "functional": "GGA-PBE",
  "state": "optimized geometry",
  "cell": [[-2.0641, 2.0641, 10.1888], [2.0641, -2.0641, 10.1888], [2.0641, 2.0641, -10.1888]],
  "species": ["In", "Pd", "Pd", "Pd", "Pd", "Pd", "Pd", "Pd", "Se", "Se"],
  "fractional_positions": [[0.0000, 0.0000, 0.0000], [0.0970, 0.5970, 0.5000], [0.2500, 0.7500, 0.5000], [0.4030, 0.9030, 0.5000], [0.5000, 0.5000, 0.0000], [0.5970, 0.0970, 0.5000], [0.7500, 0.2500, 0.5000], [0.9030, 0.4030, 0.5000], [0.3281, 0.3281, 0.0000], [0.6719, 0.6719, 0.0000]],
  "magnetic_moment_mub_per_atom": 0.00,
  "formation_energy_uncorrected_ev_per_atom": -0.28
}

---

{
  "formula": "PdPt4Au",
  "functional": "GGA-PBE",
  "state": "optimized geometry",
  "cell": [[1.3852, -9.2048, 0.0000], [1.3852, 9.2048, 0.0000], [0.0000, 0.0000, 7.7164]],
  "species": ["Pd", "Pd", "Pt", "Pt", "Pt", "Pt", "Pt", "Pt", "Pt", "Pt", "Au", "Au"],
  "fractional_positions": [[0.0794, 0.9206, 0.7500], [0.9206, 0.0794, 0.2500], [0.0790, 0.9210, 0.2500], [0.3433, 0.6567, 0.5079], [0.3433, 0.6567, 0.9921], [0.5000, 0.5000, 0.0000], [0.5000, 0.5000, 0.5000], [0.6567, 0.3433, 0.0079], [0.6567, 0.3433, 0.4921], [0.9210, 0.0790, 0.7500], [0.2364, 0.7636, 0.7500], [0.7636, 0.2364, 0.2500]],
  "de_polymorph_ev_per_fu": 0.40,
  "magnetic_moment_mub_per_atom": 0.00,
  "formation_enthalpy_0k_ev_per_atom": 0.073
}

---

{
  "formula": "Li2SmBr5",
  "functional": "GGA-PBE",
  "state": "optimized geometry",
  "cell": [[6.2929, -4.1321, 0.0000], [6.2929, 4.1321, 0.0000], [-3.7083, 0.0000, 6.2678]],
  "species": ["Li", "Li", "Sm", "Br", "Br", "Br", "Br", "Br"],
  "fractional_positions": [[0.2206, 0.7794, 0.0000], [0.7794, 0.2206, 0.0000], [0.1461, 0.1461, 0.5116], [0.0473, 0.0473, 0.7833], [0.3987, 0.3987, 0.8637], [0.4690, 0.9218, 0.3560], [0.9064, 0.9064, 0.1283], [0.9218, 0.4690, 0.3560]],
  "magnetic_moment_mub_per_atom": 0.00,
  "formation_energy_uncorrected_ev_per_atom": -1.64
}

---

{
  "formula": "CaAg3Ge3",
  "functional": "GGA-PBE",
  "state": "optimized geometry",
  "cell": [[7.1635, 0.0000, 0.0000], [0.0000, 7.1635, 0.0000], [0.0000, 0.0000, 7.1635]],
  "species": ["Ca", "Ca", "Ag", "Ag", "Ag", "Ag", "Ag", "Ag", "Ge", "Ge", "Ge", "Ge", "Ge", "Ge"],
  "fractional_positions": [[0.0000, 0.0000, 0.0000], [0.5000, 0.5000, 0.5000], [0.0000, 0.2500, 0.5000], [0.0000, 0.7500, 0.5000], [0.2500, 0.5000, 0.0000], [0.5000, 0.0000, 0.2500], [0.5000, 0.0000, 0.7500], [0.7500, 0.5000, 0.0000], [0.0000, 0.5000, 0.2500], [0.0000, 0.5000, 0.7500], [0.2500, 0.0000, 0.5000], [0.5000, 0.2500, 0.0000], [0.5000, 0.7500, 0.0000], [0.7500, 0.0000, 0.5000]],
  "magnetic_moment_mub_per_atom": 0.00,
  "formation_enthalpy_0k_ev_per_atom": 0.260
}